Record 1
Dy3Y2Ru2 after structural relaxation, computed with PBE-GGA.

Geometry as CIF:
```
data_Dy3Y2Ru2
_cell_length_a 11.865
_cell_length_b 3.900
_cell_length_c 8.532
_cell_angle_alpha 90.00
_cell_angle_beta 114.05
_cell_angle_gamma 90.00
_symmetry_space_group_name_H-M 'C 1 2/m 1'
_symmetry_Int_Tables_number 12
loop_
_symmetry_equiv_pos_as_xyz
'x,y,z'
'-x,-y,-z'
'-x,y,-z'
'x,-y,z'
'x+1/2,y+1/2,z'
'-x+1/2,-y+1/2,-z'
'-x+1/2,y+1/2,-z'
'x+1/2,-y+1/2,z'
loop_
_atom_site_label
_atom_site_fract_x
_atom_site_fract_y
_atom_site_fract_z
_atom_site_occupancy
Dy1 0.000 0.000 0.000 1
Dy2 0.122 0.000 0.429 1
Y1 0.165 0.500 0.809 1
Ru1 0.177 0.500 0.224 1
```

Values from the calculation:
E_tot: -6.7951 eV per atom
energy of formation: -0.326 eV per atom

Record 2
AgC2 after structural relaxation, computed with PBE-GGA.

Geometry as CIF:
```
data_AgC2
_cell_length_a 6.2481
_cell_length_b 6.2481
_cell_length_c 3.0507
_cell_angle_alpha 90.00
_cell_angle_beta 90.00
_cell_angle_gamma 120.00
_symmetry_space_group_name_H-M 'P -6 2 m'
_symmetry_Int_Tables_number 189
_symmetry_space_group_name_Hall 'P -6 -2'
loop_
_atom_site_label
_atom_site_fract_x
_atom_site_fract_y
_atom_site_fract_z
_atom_site_occupancy
Ag1 0.0000 0.0000 0.0000 1
Ag2 0.3333 0.6667 0.5000 1
C1 0.0000 0.2710 0.5000 1
C2 0.0000 0.6556 0.0000 1
```

Values from the calculation:
excess energy over the best structure of this formula in the dataset: 2808 meV/atom
E_tot: -3.9588 eV per atom
energy of formation: 3.141 eV per atom

Record 3
UTcAsN after structural relaxation, computed with PBE-GGA.

Geometry as CIF:
```
data_UTcAsN
_cell_length_a 3.990
_cell_length_b 3.990
_cell_length_c 8.086
_cell_angle_alpha 90.00
_cell_angle_beta 90.00
_cell_angle_gamma 90.00
_symmetry_space_group_name_H-M 'P 4/n m m'
_symmetry_Int_Tables_number 129
loop_
_symmetry_equiv_pos_as_xyz
'x,y,z'
'-x,-y,-z'
'-y+1/2,x,z'
'y+1/2,-x,-z'
'-x+1/2,-y+1/2,z'
'x+1/2,y+1/2,-z'
'y,-x+1/2,z'
'-y,x+1/2,-z'
'x+1/2,-y,-z'
'-x+1/2,y,z'
'-y,-x,-z'
'y,x,z'
'-x,y+1/2,-z'
'x,-y+1/2,z'
'y+1/2,x+1/2,-z'
'-y+1/2,-x+1/2,z'
loop_
_atom_site_label
_atom_site_fract_x
_atom_site_fract_y
_atom_site_fract_z
_atom_site_occupancy
U1 0.250 0.250 0.137 1
Tc1 0.250 0.750 0.500 1
As1 0.250 0.250 0.681 1
N1 0.250 0.750 0.000 1
```

Values from the calculation:
E_tot: -9.4968 eV per atom
energy relative to the elements, uncorrected: -324.0 kJ/mol of formula units

Record 4
CrInNiRh after structural relaxation, computed with PBE-GGA.

Geometry as CIF:
```
data_CrInNiRh
_cell_length_a 6.208
_cell_length_b 6.208
_cell_length_c 6.208
_cell_angle_alpha 90.00
_cell_angle_beta 90.00
_cell_angle_gamma 90.00
_symmetry_space_group_name_H-M 'F -4 3 m'
_symmetry_Int_Tables_number 216
_symmetry_space_group_name_Hall 'F -4 2 3'
loop_
_atom_site_label
_atom_site_fract_x
_atom_site_fract_y
_atom_site_fract_z
_atom_site_occupancy
Cr1 0.000 0.000 0.000 1
In1 0.000 0.000 0.500 1
Ni1 0.250 0.250 0.750 1
Rh1 0.250 0.250 0.250 1
```

Values from the calculation:
E_tot: -6.4158 eV per atom
energy of formation: -0.042 eV per atom

Record 5
LaThRu2 after structural relaxation, computed with PBE-GGA.

Geometry as CIF:
```
data_LaThRu2
_cell_length_a 5.687
_cell_length_b 5.407
_cell_length_c 12.209
_cell_angle_alpha 90.00
_cell_angle_beta 103.63
_cell_angle_gamma 90.00
_symmetry_space_group_name_H-M 'P 1 2/c 1'
_symmetry_Int_Tables_number 13
loop_
_symmetry_equiv_pos_as_xyz
'x,y,z'
'-x,-y,-z'
'-x,y,-z+1/2'
'x,-y,z+1/2'
loop_
_atom_site_label
_atom_site_fract_x
_atom_site_fract_y
_atom_site_fract_z
_atom_site_occupancy
La1 0.193 0.126 0.141 1
Th1 0.306 0.375 0.863 1
Ru1 0.169 0.379 0.593 1
Ru2 0.334 0.133 0.420 1
```

Values from the calculation:
E_tot: -8.0284 eV per atom
energy of formation: -0.304 eV per atom

Record 6
Pm6GeIr3 after structural relaxation, computed with PBE-GGA.

Geometry as CIF:
```
data_Pm6GeIr3
_cell_length_a 11.550
_cell_length_b 4.246
_cell_length_c 12.000
_cell_angle_alpha 90.00
_cell_angle_beta 108.05
_cell_angle_gamma 90.00
_symmetry_space_group_name_H-M 'P 1 21/m 1'
_symmetry_Int_Tables_number 11
loop_
_symmetry_equiv_pos_as_xyz
'x,y,z'
'-x,-y,-z'
'-x,y+1/2,-z'
'x,-y+1/2,z'
loop_
_atom_site_label
_atom_site_fract_x
_atom_site_fract_y
_atom_site_fract_z
_atom_site_occupancy
Pm1 0.034 0.250 0.393 1
Pm2 0.102 0.250 0.939 1
Pm3 0.229 0.750 0.275 1
Pm4 0.299 0.750 0.765 1
Pm5 0.378 0.250 0.541 1
Pm6 0.423 0.750 0.098 1
Ge1 0.452 0.250 0.308 1
Ir1 0.062 0.250 0.167 1
Ir2 0.189 0.750 0.507 1
Ir3 0.344 0.250 0.924 1
```

Values from the calculation:
excess energy over the best structure of this formula in the dataset: 0 meV/atom
E_tot: -6.5894 eV per atom
energy of formation: -0.619 eV per atom

Record 7
CsSiTe2 after structural relaxation, computed with PBE-GGA.

Geometry as CIF:
```
data_CsSiTe2
_cell_length_a 8.389
_cell_length_b 8.389
_cell_length_c 9.992
_cell_angle_alpha 90.00
_cell_angle_beta 90.00
_cell_angle_gamma 90.00
_symmetry_space_group_name_H-M 'I -4 2 d'
_symmetry_Int_Tables_number 122
_symmetry_space_group_name_Hall 'I -4 2bw'
loop_
_atom_site_label
_atom_site_fract_x
_atom_site_fract_y
_atom_site_fract_z
_atom_site_occupancy
Cs1 0.000 0.000 0.000 1
Si1 0.000 0.000 0.500 1
Te1 0.128 0.250 0.625 1
```

Values from the calculation:
E_tot: -3.4985 eV per atom
energy relative to the elements, uncorrected: -138.4 kJ/mol of formula units

Record 8
NaNdDyTl after structural relaxation, computed with PBE-GGA.

Geometry as CIF:
```
data_NaNdDyTl
_cell_length_a 7.758
_cell_length_b 7.758
_cell_length_c 7.758
_cell_angle_alpha 90.00
_cell_angle_beta 90.00
_cell_angle_gamma 90.00
_symmetry_space_group_name_H-M 'F -4 3 m'
_symmetry_Int_Tables_number 216
_symmetry_space_group_name_Hall 'F -4 2 3'
loop_
_atom_site_label
_atom_site_fract_x
_atom_site_fract_y
_atom_site_fract_z
_atom_site_occupancy
Na1 0.000 0.000 0.000 1
Nd1 0.250 0.250 0.250 1
Dy1 0.250 0.250 0.750 1
Tl1 0.000 0.000 0.500 1
```

Values from the calculation:
E_tot: -3.3351 eV per atom
energy of formation: -0.071 eV per atom

Record 9
CdSiN2O after structural relaxation, computed with PBE-GGA.

Geometry as CIF:
```
data_CdSiN2O
_cell_length_a 3.692
_cell_length_b 3.692
_cell_length_c 3.685
_cell_angle_alpha 90.00
_cell_angle_beta 90.00
_cell_angle_gamma 90.00
_symmetry_space_group_name_H-M 'P 4/m m m'
_symmetry_Int_Tables_number 123
_symmetry_space_group_name_Hall '-P 4 2'
loop_
_atom_site_label
_atom_site_fract_x
_atom_site_fract_y
_atom_site_fract_z
_atom_site_occupancy
Cd1 0.000 0.000 0.000 1
Si1 0.500 0.500 0.500 1
N1 0.000 0.500 0.500 1
O1 0.500 0.500 0.000 1
```

Values from the calculation:
E_tot: -5.6278 eV per atom
energy relative to the elements, uncorrected: -18.5 kJ/mol of formula units

Record 10
Ba5Na4N after structural relaxation, computed with PBE-GGA.

Geometry as CIF:
```
data_Ba5Na4N
_cell_length_a 12.253
_cell_length_b 12.253
_cell_length_c 6.087
_cell_angle_alpha 90.00
_cell_angle_beta 90.00
_cell_angle_gamma 90.00
_symmetry_space_group_name_H-M 'I 4'
_symmetry_Int_Tables_number 79
loop_
_symmetry_equiv_pos_as_xyz
'x,y,z'
'-y,x,z'
'-x,-y,z'
'y,-x,z'
'x+1/2,y+1/2,z+1/2'
'-y+1/2,x+1/2,z+1/2'
'-x+1/2,-y+1/2,z+1/2'
'y+1/2,-x+1/2,z+1/2'
loop_
_atom_site_label
_atom_site_fract_x
_atom_site_fract_y
_atom_site_fract_z
_atom_site_occupancy
Ba1 0.000 0.000 0.000 1
Ba2 0.157 0.158 0.481 1
Na1 0.000 0.351 0.978 1
N1 0.000 0.000 0.439 1
```

Values from the calculation:
E_tot: -2.4191 eV per atom
energy relative to the elements, uncorrected: -94.2 kJ/mol of formula units

Record 11
GdDyPd2 after structural relaxation, computed with PBE-GGA.

Geometry as CIF:
```
data_GdDyPd2
_cell_length_a 4.1019
_cell_length_b 4.1019
_cell_length_c 20.0657
_cell_angle_alpha 90.00
_cell_angle_beta 90.00
_cell_angle_gamma 120.00
_symmetry_space_group_name_H-M 'R -3 m'
_symmetry_Int_Tables_number 166
_symmetry_space_group_name_Hall '-R 3 2"'
loop_
_atom_site_label
_atom_site_fract_x
_atom_site_fract_y
_atom_site_fract_z
_atom_site_occupancy
Gd1 0.0000 0.0000 0.0000 1
Dy1 0.0000 0.0000 0.5000 1
Pd1 0.0000 0.0000 0.2483 1
```

Values from the calculation:
excess energy over the best structure of this formula in the dataset: 128 meV/atom
E_tot: -7.9977 eV per atom
energy of formation: -0.731 eV per atom

Record 12
TbCd4Hg2 after structural relaxation, computed with PBE-GGA.

Geometry as CIF:
```
data_TbCd4Hg2
_cell_length_a 4.949
_cell_length_b 19.607
_cell_length_c 3.388
_cell_angle_alpha 90.00
_cell_angle_beta 90.00
_cell_angle_gamma 90.00
_symmetry_space_group_name_H-M 'C m m m'
_symmetry_Int_Tables_number 65
_symmetry_space_group_name_Hall '-C 2 2'
loop_
_atom_site_label
_atom_site_fract_x
_atom_site_fract_y
_atom_site_fract_z
_atom_site_occupancy
Tb1 0.000 0.000 0.000 1
Cd1 0.000 0.155 0.500 1
Cd2 0.000 0.293 0.000 1
Hg1 0.000 0.426 0.500 1
```

Values from the calculation:
excess energy over the best structure of this formula in the dataset: 0 meV/atom
E_tot: -1.4216 eV per atom
energy of formation: -0.151 eV per atom

Record 13
K2MgIn4Ga3 after structural relaxation, computed with PBE-GGA.

Geometry as CIF:
```
data_K2MgIn4Ga3
_cell_length_a 4.753
_cell_length_b 4.753
_cell_length_c 12.198
_cell_angle_alpha 90.00
_cell_angle_beta 90.00
_cell_angle_gamma 90.00
_symmetry_space_group_name_H-M 'P -4 m 2'
_symmetry_Int_Tables_number 115
loop_
_symmetry_equiv_pos_as_xyz
'x,y,z'
'y,-x,-z'
'-x,-y,z'
'-y,x,-z'
'-x,y,z'
'-y,-x,-z'
'x,-y,z'
'y,x,-z'
loop_
_atom_site_label
_atom_site_fract_x
_atom_site_fract_y
_atom_site_fract_z
_atom_site_occupancy
K1 0.000 0.500 0.244 1
Mg1 0.000 0.000 0.500 1
In1 0.000 0.000 0.000 1
In2 0.000 0.500 0.640 1
In3 0.500 0.500 0.000 1
Ga1 0.000 0.500 0.866 1
Ga2 0.500 0.500 0.500 1
```

Values from the calculation:
E_tot: -2.4866 eV per atom
energy of formation: -0.104 eV per atom

Record 14
Ni2MoRh after structural relaxation, computed with PBE-GGA.

Geometry as CIF:
```
data_Ni2MoRh
_cell_length_a 3.695
_cell_length_b 3.695
_cell_length_c 7.551
_cell_angle_alpha 90.00
_cell_angle_beta 90.00
_cell_angle_gamma 90.00
_symmetry_space_group_name_H-M 'I 4/m m m'
_symmetry_Int_Tables_number 139
_symmetry_space_group_name_Hall '-I 4 2'
loop_
_atom_site_label
_atom_site_fract_x
_atom_site_fract_y
_atom_site_fract_z
_atom_site_occupancy
Ni1 0.000 0.500 0.250 1
Mo1 0.000 0.000 0.000 1
Rh1 0.000 0.000 0.500 1
```

Values from the calculation:
excess energy over the best structure of this formula in the dataset: 43 meV/atom
E_tot: -7.5222 eV per atom
energy of formation: -0.086 eV per atom

Record 15
CrIrPb2 after structural relaxation, computed with PBE-GGA.

Geometry as CIF:
```
data_CrIrPb2
_cell_length_a 4.162
_cell_length_b 4.162
_cell_length_c 9.495
_cell_angle_alpha 90.00
_cell_angle_beta 90.00
_cell_angle_gamma 90.00
_symmetry_space_group_name_H-M 'I -4 m 2'
_symmetry_Int_Tables_number 119
_symmetry_space_group_name_Hall 'I -4 -2'
loop_
_atom_site_label
_atom_site_fract_x
_atom_site_fract_y
_atom_site_fract_z
_atom_site_occupancy
Cr1 0.000 0.000 0.000 1
Ir1 0.000 0.500 0.750 1
Pb1 0.000 0.000 0.500 1
Pb2 0.000 0.500 0.250 1
```

Values from the calculation:
excess energy over the best structure of this formula in the dataset: 314 meV/atom
E_tot: -5.9044 eV per atom
energy of formation: 0.571 eV per atom

Record 16
ScReHg after structural relaxation, computed with PBE-GGA.

Geometry as CIF:
```
data_ScReHg
_cell_length_a 2.921
_cell_length_b 2.921
_cell_length_c 13.149
_cell_angle_alpha 90.00
_cell_angle_beta 90.00
_cell_angle_gamma 90.00
_symmetry_space_group_name_H-M 'I 4 m m'
_symmetry_Int_Tables_number 107
_symmetry_space_group_name_Hall 'I 4 -2'
loop_
_atom_site_label
_atom_site_fract_x
_atom_site_fract_y
_atom_site_fract_z
_atom_site_occupancy
Sc1 0.000 0.000 0.000 1
Re1 0.000 0.000 0.348 1
Hg1 0.000 0.000 0.680 1
```

Values from the calculation:
excess energy over the best structure of this formula in the dataset: 17 meV/atom
E_tot: -6.0923 eV per atom
energy of formation: 0.268 eV per atom

Record 17
Sn2Bi2Pd5 after structural relaxation, computed with PBE-GGA.

Geometry as CIF:
```
data_Sn2Bi2Pd5
_cell_length_a 3.361
_cell_length_b 7.664
_cell_length_c 7.708
_cell_angle_alpha 109.56
_cell_angle_beta 102.47
_cell_angle_gamma 90.06
_symmetry_space_group_name_H-M 'P -1'
_symmetry_Int_Tables_number 2
loop_
_symmetry_equiv_pos_as_xyz
'x,y,z'
'-x,-y,-z'
loop_
_atom_site_label
_atom_site_fract_x
_atom_site_fract_y
_atom_site_fract_z
_atom_site_occupancy
Sn1 0.017 0.299 0.035 1
Bi1 0.279 0.732 0.560 1
Pd1 0.160 0.942 0.319 1
Pd2 0.391 0.407 0.782 1
Pd3 0.500 0.000 0.000 1
```

Values from the calculation:
excess energy over the best structure of this formula in the dataset: 0 meV/atom
E_tot: -4.9549 eV per atom
energy of formation: -0.318 eV per atom

Record 18
TmAlGa2Pt4 after structural relaxation, computed with PBE-GGA.

Geometry as CIF:
```
data_TmAlGa2Pt4
_cell_length_a 4.3199
_cell_length_b 4.3199
_cell_length_c 25.1275
_cell_angle_alpha 90.00
_cell_angle_beta 90.00
_cell_angle_gamma 120.00
_symmetry_space_group_name_H-M 'R -3 m'
_symmetry_Int_Tables_number 166
_symmetry_space_group_name_Hall '-R 3 2"'
loop_
_atom_site_label
_atom_site_fract_x
_atom_site_fract_y
_atom_site_fract_z
_atom_site_occupancy
Tm1 0.0000 0.0000 0.0000 1
Al1 0.0000 0.0000 0.5000 1
Ga1 0.0000 0.0000 0.2507 1
Pt1 0.0000 0.0000 0.1349 1
Pt2 0.0000 0.0000 0.4007 1
```

Values from the calculation:
E_tot: -5.7339 eV per atom
energy of formation: -0.930 eV per atom

Record 19
Pd5PtRh after structural relaxation, computed with PBE-GGA.

Geometry as CIF:
```
data_Pd5PtRh
_cell_length_a 3.887
_cell_length_b 3.887
_cell_length_c 7.576
_cell_angle_alpha 90.00
_cell_angle_beta 90.00
_cell_angle_gamma 90.00
_symmetry_space_group_name_H-M 'P 4/m m m'
_symmetry_Int_Tables_number 123
_symmetry_space_group_name_Hall '-P 4 2'
loop_
_atom_site_label
_atom_site_fract_x
_atom_site_fract_y
_atom_site_fract_z
_atom_site_occupancy
Pd1 0.000 0.000 0.000 1
Pd2 0.000 0.500 0.271 1
Pt1 0.500 0.500 0.000 1
Rh1 0.500 0.500 0.500 1
```

Values from the calculation:
excess energy over the best structure of this formula in the dataset: 26 meV/atom
E_tot: -5.4222 eV per atom
energy of formation: 0.200 eV per atom

Record 20
YBiIrO6 after structural relaxation, computed with PBE-GGA.

Geometry as CIF:
```
data_YBiIrO6
_cell_length_a 5.5645
_cell_length_b 5.5645
_cell_length_c 9.5236
_cell_angle_alpha 90.00
_cell_angle_beta 90.00
_cell_angle_gamma 120.00
_symmetry_space_group_name_H-M 'P -3 1 c'
_symmetry_Int_Tables_number 163
_symmetry_space_group_name_Hall '-P 3 2c'
loop_
_atom_site_label
_atom_site_fract_x
_atom_site_fract_y
_atom_site_fract_z
_atom_site_occupancy
Y1 0.3333 0.6667 0.2500 1
Bi1 0.0000 0.0000 0.0000 1
Ir1 0.3333 0.6667 0.7500 1
O1 0.0396 0.3763 0.6335 1
```

Values from the calculation:
E_tot: -6.9888 eV per atom
energy relative to the elements, uncorrected: -1345.4 kJ/mol of formula units